An optimized crystal structure of LiGaSi2O6, computed with PBE-GGA.

The space group is P2_1/c (No. 14) and the conventional cell measures 9.286, 8.723 and 5.302 Å, with angles of 90.00, 101.86 and 90.00 degrees. The inequivalent atoms are Li at (0.249, 0.007, 0.014), Ga at (0.251, 0.647, 0.016), Si at (0.047, 0.160, 0.274), Si at (0.451, 0.160, 0.700), O at (0.108, 0.232, 0.028), O at (0.116, 0.510, 0.804), O at (0.135, 0.668, 0.293), O at (0.365, 0.666, 0.736), O at (0.377, 0.503, 0.232) and O at (0.396, 0.222, 0.403).

The value obtained for the uncorrected formation energy is -2.470 eV per atom. The energy above the most stable polymorph in this dataset comes out at 0.0318 eV per atom. The magnetic moment comes out at 0.00 μB per formula unit.



An optimized crystal structure of LiSm2GaO5, computed with PBE-GGA.

The space group is P4/mbm (No. 127) and the conventional cell measures 6.617, 6.617 and 5.741 Å, with angles of 90.00, 90.00 and 90.00 degrees. The inequivalent atoms are Li at (0.000, 0.000, 0.000), Sm at (0.178, 0.322, 0.500), Ga at (0.000, 0.500, 0.000), O at (0.000, 0.000, 0.500) and O at (0.137, 0.637, 0.240).

The value obtained for the uncorrected formation energy is -2.483 eV per atom. The magnetic moment comes out at 0.00 μB per formula unit.



An optimized crystal structure of Li2Sm2GaO6, computed with PBE-GGA.

The space group is R-3m (No. 166, hexagonal axes) and the conventional cell measures 5.6102, 5.6102 and 14.7126 Å, with angles of 90.00, 90.00 and 120.00 degrees. The inequivalent atoms are Li at (0.0000, 0.0000, 0.0739), Sm at (0.0000, 0.0000, 0.2885), Ga at (0.0000, 0.0000, 0.5000) and O at (0.0287, 0.5144, 0.2560).

The value obtained for the uncorrected formation energy is -2.139 eV per atom. The magnetic moment comes out at 1.04 μB per formula unit.



An optimized crystal structure of LiGaSnO4, computed with PBE-GGA.

The space group is Imma (No. 74) and the conventional cell measures 5.933, 6.342 and 8.325 Å, with angles of 90.00, 90.00 and 90.00 degrees. The inequivalent atoms are Li at (0.250, 0.250, 0.250), Ga at (0.000, 0.250, 0.641), Sn at (0.000, 0.000, 0.000), O at (0.000, 0.003, 0.245) and O at (0.240, 0.250, 0.000).

The value obtained for the uncorrected formation energy is -1.797 eV per atom. The magnetic moment comes out at 0.00 μB per formula unit.



- What is the magnetic moment in the first record?
  0.00 μB per formula unit